Compound: DyBe2Pd2
Source: Alexandria via LeMat-Bulk
Functional: GGA-PBE
Structure: optimized geometry

The space group is I4/mmm (No. 139) and the conventional cell measures 3.977, 3.977 and 9.611 Å, with angles of 90.00, 90.00 and 90.00 degrees. Symmetry generates all atoms from Dy at (0.000, 0.000, 0.000), Be at (0.000, 0.000, 0.380) and Pd at (0.000, 0.500, 0.250).

As for the mass density: 8.59 g/cm³. The calculation puts the calculated formation energy at -56.57 kJ/mol of atoms. The value obtained for the total energy is -50.74 eV per cell.


Compound: SrInOs2
Source: Alexandria via LeMat-Bulk
Functional: GGA-PBE
Structure: optimized geometry

The space group is P4/mmm (No. 123) and the conventional cell measures 3.025, 3.025 and 8.640 Å, with angles of 90.00, 90.00 and 90.00 degrees. Symmetry generates all atoms from Sr at (0.000, 0.000, 0.000), In at (0.000, 0.000, 0.500) and Os at (0.500, 0.500, 0.283).

As for the mass density: 12.24 g/cm³. The calculation puts the calculated formation energy at 92.52 kJ/mol of atoms. The value obtained for the total energy is -23.04 eV per cell.


Compound: Sc2GaC
Source: Alexandria via LeMat-Bulk
Functional: GGA-PBE
Structure: optimized geometry

The space group is I-42d (No. 122) and the conventional cell measures 6.595, 6.595 and 6.626 Å, with angles of 90.00, 90.00 and 90.00 degrees. Symmetry generates all atoms from Sc at (0.175, 0.750, 0.125), Ga at (0.000, 0.000, 0.500) and C at (0.000, 0.000, 0.000).

As for the mass density: 3.96 g/cm³. The calculation puts the calculated formation energy at -15.04 kJ/mol of atoms. The value obtained for the total energy is -102.15 eV per cell.


Compound: BaPm4In5
Source: Alexandria via LeMat-Bulk
Functional: GGA-PBE
Structure: optimized geometry

The space group is P4/mmm (No. 123) and the conventional cell measures 3.922, 3.922 and 19.738 Å, with angles of 90.00, 90.00 and 90.00 degrees. Symmetry generates all atoms from Ba at (0.000, 0.000, 0.000), Pm at (0.000, 0.000, 0.214), Pm at (0.000, 0.000, 0.405), In at (0.500, 0.500, 0.123), In at (0.500, 0.500, 0.311) and In at (0.500, 0.500, 0.500).

As for the mass density: 7.06 g/cm³. The calculation puts the calculated formation energy at -45.08 kJ/mol of atoms. The value obtained for the total energy is -39.29 eV per cell.


Compound: Ta2BeB2
Source: Alexandria via LeMat-Bulk
Functional: GGA-PBE
Structure: optimized geometry

The space group is Immm (No. 71) and the conventional cell measures 3.280, 4.638 and 7.093 Å, with angles of 90.00, 90.00 and 90.00 degrees. Symmetry generates all atoms from Ta at (0.000, 0.000, 0.209), Be at (0.000, 0.500, 0.000) and B at (0.000, 0.301, 0.500).

As for the mass density: 12.08 g/cm³. The calculation puts the calculated formation energy at -62.29 kJ/mol of atoms. The value obtained for the total energy is -88.03 eV per cell.


Compound: Rb2TcAg
Source: Alexandria via LeMat-Bulk
Functional: GGA-PBE
Structure: optimized geometry

The space group is Fm-3m (No. 225) and the conventional cell measures 8.557, 8.557 and 8.557 Å, with angles of 90.00, 90.00 and 90.00 degrees. Symmetry generates all atoms from Rb at (0.250, 0.250, 0.250), Tc at (0.000, 0.000, 0.000) and Ag at (0.000, 0.000, 0.500).

As for the mass density: 3.99 g/cm³. The calculation puts the calculated formation energy at 125.57 kJ/mol of atoms. The value obtained for the total energy is -39.79 eV per cell.


Compound: SbRh3S
Source: Alexandria via LeMat-Bulk
Functional: GGA-PBE
Structure: optimized geometry

The space group is Pm-3m (No. 221) and the conventional cell measures 4.846, 4.846 and 4.846 Å, with angles of 90.00, 90.00 and 90.00 degrees. Symmetry generates all atoms from Sb at (0.000, 0.000, 0.000), Rh at (0.000, 0.000, 0.500) and S at (0.500, 0.500, 0.500).

As for the mass density: 6.75 g/cm³. The value obtained for the total energy is -24.32 eV per cell. Its energy relative to the elements, uncorrected is 1.1978 eV/atom.


Compound: K2NaIn2Te4
Source: Alexandria via LeMat-Bulk
Functional: GGA-PBE
Structure: optimized geometry

The space group is C2/m (No. 12) and the conventional cell measures 17.052, 5.032 and 8.215 Å, with angles of 90.00, 105.68 and 90.00 degrees. Symmetry generates all atoms from K at (0.120, 0.000, 0.051), Na at (0.000, 0.000, 0.500), In at (0.164, 0.500, 0.504), Te at (0.019, 0.500, 0.245) and Te at (0.208, 0.000, 0.691).

As for the mass density: 4.12 g/cm³. The value obtained for the total energy is -55.37 eV per cell. Its energy relative to the elements, uncorrected is -0.6806 eV/atom.


Compound: YThFe2
Source: Alexandria via LeMat-Bulk
Functional: GGA-PBE
Structure: optimized geometry

The space group is Amm2 (No. 38) and the conventional cell measures 3.870, 4.034 and 10.817 Å, with angles of 90.00, 90.00 and 90.00 degrees. Symmetry generates all atoms from Y at (0.000, 0.000, 0.000), Th at (0.500, 0.000, 0.714), Fe at (0.000, 0.000, 0.296) and Fe at (0.500, 0.000, 0.414).

As for the mass density: 8.51 g/cm³. The calculation puts the calculated formation energy at -1.46 kJ/mol of atoms. The value obtained for the total energy is -61.74 eV per cell.


Compound: Rb2Cd3Ag4
Source: Alexandria via LeMat-Bulk
Functional: GGA-PBE
Structure: optimized geometry

The space group is Ibam (No. 72) and the conventional cell measures 7.231, 13.890 and 11.053 Å, with angles of 90.00, 90.00 and 90.00 degrees. Symmetry generates all atoms from Rb at (0.240, 0.122, 0.000), Cd at (0.000, 0.253, 0.250), Cd at (0.000, 0.500, 0.250) and Ag at (0.243, 0.123, 0.373).

As for the mass density: 5.62 g/cm³. The calculation puts the calculated formation energy at 6.40 kJ/mol of atoms. The value obtained for the total energy is -61.95 eV per cell.


Compound: SiRhW2
Source: Alexandria via LeMat-Bulk
Functional: GGA-PBE
Structure: optimized geometry

The space group is Immm (No. 71) and the conventional cell measures 3.572, 3.919 and 8.405 Å, with angles of 90.00, 90.00 and 90.00 degrees. Symmetry generates all atoms from Si at (0.000, 0.000, 0.000), Rh at (0.000, 0.000, 0.500) and W at (0.000, 0.500, 0.253).

As for the mass density: 14.08 g/cm³. The value obtained for the total energy is -78.33 eV per cell. Its energy relative to the elements, uncorrected is -0.1211 eV/atom.


Compound: CaAc2Pb
Source: Alexandria via LeMat-Bulk
Functional: GGA-PBE
Structure: optimized geometry

The space group is R-3m (No. 166, hexagonal axes) and the conventional cell measures 3.8589, 3.8589 and 39.7932 Å, with angles of 90.00, 90.00 and 120.00 degrees. Symmetry generates all atoms from Ca at (0.0000, 0.0000, 0.0000), Ac at (0.0000, 0.0000, 0.4144) and Pb at (0.0000, 0.0000, 0.5000).

As for the mass density: 6.81 g/cm³. The calculation puts the calculated formation energy at 10.66 kJ/mol of atoms. The value obtained for the total energy is -40.45 eV per cell.


no.,total magnetic moment (μB per cell)
1,0.00
2,1.21
3,0.00
4,0.00
5,0.00
6,15.99
7,1.81
8,0.00
9,3.68
10,0.00
11,0.00
12,0.00